Model P:
Here is CsCd2Au after structural relaxation from Alexandria via LeMat-Bulk. Energies are from PBE-GGA.

Lattice parameters (Å, degrees): 4.9335 6.2881 8.2811 90.00 90.00 90.00
With the nearest neighbours (Å) after each atom.
Space group Pmmn (No. 59, origin choice 2)
Inequivalent atoms, fractional coordinates:
Cs  0.2500  0.2500  0.0690 (multiplicity 2)  4 Au 3.80-4.10, 6 Cd 3.90-4.02, 4 Cs 4.16
Cd  0.2500  0.0036  0.6215 (multiplicity 4)  3 Au 2.92-2.94, 4 Cd 3.10-3.19
Au  0.2500  0.7500  0.3265 (multiplicity 2)  6 Cd 2.92-2.94

For the total magnetization, the calculation gives 0.0 μB per formula unit.



Model Q:
Here is CsCd2Au after structural relaxation from Alexandria via LeMat-Bulk. Energies are from PBE-GGA.

Lattice parameters (Å, degrees): 4.9096 4.9096 20.2386 90.00 90.00 120.00
With the nearest neighbours (Å) after each atom.
Space group R-3m (No. 166, hexagonal axes)
Inequivalent atoms, fractional coordinates:
Cs  0.0000  0.0000  0.0000 (multiplicity 3)  8 Cd 3.92-4.01
Cd  0.0000  0.0000  0.1935 (multiplicity 6)  3 Au 2.89, 3 Cd 3.03
Au  0.0000  0.0000  0.5000 (multiplicity 3)  6 Cd 2.89

For the total magnetization, the calculation gives 0.0 μB per formula unit.



Model R:
Here is CsCd2Au after structural relaxation from Alexandria via LeMat-Bulk. Energies are from PBE-GGA.

Lattice parameters (Å, degrees): 3.7723 3.7723 8.6065 90.00 90.00 90.00
With the nearest neighbours (Å) after each atom.
Space group P4/mmm (No. 123)
Inequivalent atoms, fractional coordinates:
Cs  0.0000  0.0000  0.0000 (multiplicity 1)  4 Cs 3.77, 8 Cd 3.88
Cd  0.5000  0.5000  0.3267 (multiplicity 2)  1 Cd 2.98, 4 Au 3.06
Au  0.0000  0.0000  0.5000 (multiplicity 1)  8 Cd 3.06

For the total magnetization, the calculation gives 0.0 μB per formula unit.



model Q ends up most stable, edging out the next structure by 27 meV/atom.



Model P:
Here is CsCdAu3 after structural relaxation from Alexandria via LeMat-Bulk. Energies are from PBE-GGA.

Lattice parameters (Å, degrees): 6.0815 6.0815 6.0815 90.00 90.00 90.00
With the nearest neighbours (Å) after each atom.
Space group Pm-3m (No. 221)
Inequivalent atoms, fractional coordinates:
Cs  0.0000  0.0000  0.0000 (multiplicity 1)  6 Au 3.04
Cd  0.5000  0.5000  0.5000 (multiplicity 1)  12 Au 4.30
Au  0.0000  0.0000  0.5000 (multiplicity 3)  2 Cs 3.04

For the total magnetization, the calculation gives 0.0 μB per formula unit.



Model Q:
Here is CsCdAu3 after structural relaxation from Alexandria via LeMat-Bulk. Energies are from PBE-GGA.

Lattice parameters (Å, degrees): 5.7361 10.6127 9.5557 90.00 90.00 90.00
With the nearest neighbours (Å) after each atom.
Space group Imma (No. 74)
Inequivalent atoms, fractional coordinates:
Cs  0.0000  0.2500  0.0976 (multiplicity 4)  6 Au 3.51-3.83
Cd  0.0000  0.0000  0.5000 (multiplicity 4)  6 Au 2.85-2.87
Au  0.0000  0.2500  0.6135 (multiplicity 4)  4 Au 2.84, 2 Cd 2.87
Au  0.2500  0.0547  0.7500 (multiplicity 8)  4 Au 2.84-2.87, 2 Cd 2.85

For the total magnetization, the calculation gives 0.0 μB per formula unit.



model Q ends up most stable, edging out the next structure by 1298 meV/atom.